# 1
# LaMo2

An optimized crystal structure of LaMo2 (PBE, Alexandria).

a = 6.788 Å, b = 6.788 Å, c = 4.887 Å
α = 90.00°, β = 90.00°, γ = 120.00°
Last column: magnetic moment on the atom in μB.
Positions (direct):
Mo 0.509 0.509 0.500  1.06
Mo 0.224 0.000 0.000  -0.14
Mo 0.000 0.224 0.000  -0.14
Mo 0.776 0.776 0.000  -0.14
Mo 0.000 0.491 0.500  1.06
Mo 0.491 0.000 0.500  1.06
La 0.000 0.000 0.500  0.01
La 0.667 0.333 0.000  0.06
La 0.333 0.667 0.000  0.06

Computed properties:
For the energy of formation, the calculation gives 1.118 eV per atom. The distance to the lowest polymorph of the same formula is 2.458 eV/f.u. The calculation puts the electronic total energy at -7.745 eV/atom.

# 2
# LaMo4

An optimized crystal structure of LaMo4 (PBE, Alexandria).

a = 4.706 Å, b = 4.706 Å, c = 4.706 Å
α = 90.00°, β = 90.00°, γ = 90.00°
Positions (direct):
Mo 0.000 0.500 0.500
Mo 0.000 0.000 0.000
Mo 0.500 0.000 0.500
Mo 0.500 0.500 0.000
La 0.500 0.500 0.500

Computed properties:
For the energy of formation, the calculation gives 2.428 eV per atom. The distance to the lowest polymorph of the same formula is 9.305 eV/f.u. The calculation puts the electronic total energy at -7.222 eV/atom.

# 3
# La4Mo5

An optimized crystal structure of La4Mo5 (PBE, Alexandria).

a = 9.200 Å, b = 9.200 Å, c = 5.517 Å
α = 90.00°, β = 90.00°, γ = 60.00°
Positions (direct):
La 0.699 0.000 0.750
La 0.000 0.000 0.500
La 0.000 0.000 0.000
La 0.000 0.301 0.750
La 0.699 0.301 0.250
La 0.301 0.000 0.250
La 0.000 0.699 0.250
La 0.301 0.699 0.750
Mo 0.000 0.570 0.750
Mo 0.333 0.333 0.500
Mo 0.570 0.430 0.750
Mo 0.667 0.667 0.000
Mo 0.430 0.570 0.250
Mo 0.667 0.667 0.500
Mo 0.570 0.000 0.250
Mo 0.333 0.333 0.000
Mo 0.430 0.000 0.750
Mo 0.000 0.430 0.250

Computed properties:
For the energy of formation, the calculation gives 0.766 eV per atom. The distance to the lowest polymorph of the same formula is 1.580 eV/f.u. The calculation puts the electronic total energy at -7.441 eV/atom.

# 4
# LaMo2

An optimized crystal structure of LaMo2 (PBE, Alexandria).

a = 7.845 Å, b = 7.845 Å, c = 4.652 Å
α = 90.00°, β = 90.00°, γ = 150.50°
Positions (direct):
Mo 0.346 0.654 0.750
Mo 0.654 0.346 0.250
Mo 0.255 0.745 0.250
Mo 0.745 0.255 0.750
La 0.917 0.083 0.250
La 0.083 0.917 0.750

Computed properties:
For the energy of formation, the calculation gives 0.343 eV per atom. The distance to the lowest polymorph of the same formula is 0.132 eV/f.u. The calculation puts the electronic total energy at -8.521 eV/atom.

electronic total energy of number 1 (LaMo2)?
-7.745 eV/atom